Record 1
# Tb2RuAu

A relaxed structure of Tb2RuAu (PBE-GGA, Alexandria via LeMat-Bulk).

a b c (Å): 3.453 3.453 7.308
angles (deg): 90.00 90.00 90.00
Fractional coordinates of all 4 atoms:
Ru (0.500, 0.500, 0.000)
Tb (0.000, 0.000, 0.769)
Tb (0.000, 0.000, 0.231)
Au (0.500, 0.500, 0.500)

E_form = -0.63 eV/atom
DOS at the Fermi energy = 2.39 states/eV/f.u.
Total magnetic moment = 0.0 μB/f.u.
DFT total energy = -6.0863 eV/atom


Record 2
# Tl2ZnHg8

A relaxed structure of Tl2ZnHg8 (PBE-GGA, Alexandria via LeMat-Bulk).

a b c (Å): 4.891 4.891 12.499
angles (deg): 90.00 90.00 90.00
Fractional coordinates of all 11 atoms:
Hg (0.000, 0.500, 0.500)
Hg (0.000, 0.500, 0.873)
Hg (0.000, 0.500, 0.127)
Hg (0.500, 0.000, 0.873)
Hg (0.500, 0.000, 0.127)
Hg (0.500, 0.500, 0.309)
Hg (0.500, 0.000, 0.500)
Hg (0.500, 0.500, 0.691)
Zn (0.000, 0.000, 0.000)
Tl (0.000, 0.000, 0.316)
Tl (0.000, 0.000, 0.684)

E_form = 0.01 eV/atom
DOS at the Fermi energy = 2.73 states/eV/f.u.
Total magnetic moment = 0.0 μB/f.u.
DFT total energy = -0.7553 eV/atom


Record 3
# ZrCr

A relaxed structure of ZrCr (PBE-GGA, Alexandria via LeMat-Bulk).

a b c (Å): 3.823 3.823 3.823
angles (deg): 60.00 60.00 60.00
Each line ends with the local moment (μB).
Fractional coordinates of all 2 atoms:
Cr (0.000, 0.000, 0.000)  2.68
Zr (0.500, 0.500, 0.500)  -0.23

E_form = 0.89 eV/atom
DOS at the Fermi energy = 2.42 states/eV/f.u.
Total magnetic moment = 2.5 μB/f.u.
DFT total energy = -8.1924 eV/atom


Record 4
# NaLiN2

A relaxed structure of NaLiN2 (PBE-GGA, Alexandria via LeMat-Bulk).

a b c (Å): 5.075 5.075 5.854
angles (deg): 115.83 115.83 89.70
Fractional coordinates of all 8 atoms:
Na (0.798, 0.048, 0.181)
Na (0.048, 0.798, 0.681)
Li (0.293, 0.542, 0.169)
Li (0.542, 0.293, 0.669)
N (0.891, 0.521, 0.126)
N (0.521, 0.891, 0.626)
N (0.521, 0.652, 0.627)
N (0.652, 0.521, 0.127)

DOS at the Fermi energy = 0.58 states/eV/f.u.
Energy above the most stable polymorph in this dataset = 0 meV per atom
Total magnetic moment = 0.0 μB/f.u.
DFT total energy = -5.0518 eV/atom


Record 5
# Co3Te

A relaxed structure of Co3Te (PBE-GGA, Alexandria via LeMat-Bulk).

a b c (Å): 4.790 4.790 4.790
angles (deg): 90.00 90.00 90.00
Each line ends with the local moment (μB).
Fractional coordinates of all 4 atoms:
Co (0.000, 0.500, 0.000)  1.72
Co (0.500, 0.000, 0.000)  1.72
Co (0.000, 0.000, 0.500)  1.72
Te (0.000, 0.000, 0.000)  0.00

DOS at the Fermi energy = 6.42 states/eV/f.u.
Total magnetic moment = 5.0 μB/f.u.
DFT total energy = -4.5763 eV/atom


Record 6
# TaTe3Br

A relaxed structure of TaTe3Br (PBE-GGA, Alexandria via LeMat-Bulk).

a b c (Å): 5.350 7.326 10.657
angles (deg): 102.17 92.80 113.61
Fractional coordinates of all 10 atoms:
Te (0.181, 0.190, 0.183)
Te (0.819, 0.810, 0.817)
Te (0.076, 0.324, 0.699)
Te (0.343, 0.666, 0.059)
Te (0.657, 0.334, 0.941)
Te (0.924, 0.676, 0.301)
Ta (0.069, 0.210, 0.926)
Ta (0.931, 0.790, 0.074)
Br (0.575, 0.774, 0.429)
Br (0.425, 0.226, 0.571)

DOS at the Fermi energy = 1.47 states/eV/f.u.
Energy above the most stable polymorph in this dataset = 0 meV per atom
Total magnetic moment = 0.0 μB/f.u.
DFT total energy = -4.7147 eV/atom


Record 7
# Pr2ThGa

A relaxed structure of Pr2ThGa (PBE-GGA, Alexandria via LeMat-Bulk).

a b c (Å): 4.891 4.870 4.870
angles (deg): 90.00 90.00 90.00
Fractional coordinates of all 4 atoms:
Th (0.500, 0.500, 0.500)
Ga (0.500, 0.000, 0.000)
Pr (0.000, 0.000, 0.500)
Pr (0.000, 0.500, 0.000)

E_form = -0.18 eV/atom
DOS at the Fermi energy = 5.20 states/eV/f.u.
Energy above the most stable polymorph in this dataset = 50 meV per atom
Total magnetic moment = 0.0 μB/f.u.
DFT total energy = -5.1805 eV/atom


Record 8
# AuS6O2

A relaxed structure of AuS6O2 (PBE-GGA, Alexandria via LeMat-Bulk).

a b c (Å): 12.673 6.765 12.673
angles (deg): 54.20 93.83 54.20
Fractional coordinates of all 18 atoms:
Au (0.832, 0.750, 0.168)
Au (0.168, 0.250, 0.832)
S (0.654, 0.007, 0.225)
S (0.034, 0.286, 0.200)
S (0.225, 0.507, 0.654)
S (0.200, 0.786, 0.034)
S (0.966, 0.714, 0.800)
S (0.775, 0.493, 0.346)
S (0.998, 0.978, 0.306)
S (0.694, 0.522, 0.002)
S (0.346, 0.993, 0.775)
S (0.800, 0.214, 0.966)
S (0.306, 0.478, 0.998)
S (0.002, 0.022, 0.694)
O (0.343, 0.147, 0.110)
O (0.657, 0.853, 0.890)
O (0.110, 0.647, 0.343)
O (0.890, 0.353, 0.657)

DOS at the Fermi energy = 2.82 states/eV/f.u.
Total magnetic moment = 0.0 μB/f.u.
DFT total energy = -4.3734 eV/atom


Record 9
# YMnTe2

A relaxed structure of YMnTe2 (PBE-GGA, Alexandria via LeMat-Bulk).

a b c (Å): 4.167 4.167 6.625
angles (deg): 71.65 71.65 60.02
Fractional coordinates of all 4 atoms:
Te (0.019, 0.019, 0.943)
Te (0.481, 0.481, 0.557)
Y (0.250, 0.250, 0.250)
Mn (0.750, 0.750, 0.750)

DOS at the Fermi energy = 1.26 states/eV/f.u.
Total magnetic moment = 0.0 μB/f.u.
DFT total energy = -5.8596 eV/atom


Record 10
# KIn2Ir2

A relaxed structure of KIn2Ir2 (PBE-GGA, Alexandria via LeMat-Bulk).

a b c (Å): 4.686 4.686 6.270
angles (deg): 68.06 68.06 90.00
Fractional coordinates of all 5 atoms:
In (0.750, 0.250, 0.500)
In (0.250, 0.750, 0.500)
Ir (0.615, 0.615, 0.770)
Ir (0.385, 0.385, 0.230)
K (0.000, 0.000, 0.000)

E_form = 0.06 eV/atom
DOS at the Fermi energy = 3.21 states/eV/f.u.
Energy above the most stable polymorph in this dataset = 22 meV per atom
Total magnetic moment = 0.0 μB/f.u.
DFT total energy = -4.8039 eV/atom


Record 11
# ZrSc2Cd3

A relaxed structure of ZrSc2Cd3 (PBE-GGA, Alexandria via LeMat-Bulk).

a b c (Å): 3.538 3.538 10.551
angles (deg): 90.00 90.00 90.00
Each line ends with the local moment (μB).
Fractional coordinates of all 6 atoms:
Zr (0.500, 0.500, 0.500)  0.11
Sc (0.500, 0.500, 0.833)  0.07
Sc (0.500, 0.500, 0.167)  0.07
Cd (0.000, 0.000, 0.000)  0.00
Cd (0.000, 0.000, 0.669)  0.00
Cd (0.000, 0.000, 0.331)  0.00

E_form = -0.21 eV/atom
DOS at the Fermi energy = 6.45 states/eV/f.u.
Total magnetic moment = 0.4 μB/f.u.
DFT total energy = -4.2033 eV/atom


Record 12
# Ir2WAu2

A relaxed structure of Ir2WAu2 (PBE-GGA, Alexandria via LeMat-Bulk).

a b c (Å): 7.487 7.487 2.981
angles (deg): 90.00 90.00 90.00
Fractional coordinates of all 10 atoms:
Au (0.364, 0.864, 0.000)
Au (0.864, 0.636, 0.000)
Au (0.636, 0.136, 0.000)
Au (0.136, 0.364, 0.000)
Ir (0.836, 0.336, 0.500)
Ir (0.164, 0.664, 0.500)
Ir (0.664, 0.836, 0.500)
Ir (0.336, 0.164, 0.500)
W (0.500, 0.500, 0.000)
W (0.000, 0.000, 0.000)

E_form = 0.78 eV/atom
DOS at the Fermi energy = 4.70 states/eV/f.u.
Energy above the most stable polymorph in this dataset = 245 meV per atom
Total magnetic moment = 0.0 μB/f.u.
DFT total energy = -6.6641 eV/atom


Record 13
# RbDyCuTe2

A relaxed structure of RbDyCuTe2 (PBE-GGA, Alexandria via LeMat-Bulk).

a b c (Å): 4.519 8.725 8.816
angles (deg): 95.41 90.00 90.00
Fractional coordinates of all 10 atoms:
Te (0.645, 0.770, 0.980)
Te (0.645, 0.230, 0.520)
Te (0.355, 0.770, 0.480)
Te (0.355, 0.230, 0.020)
Dy (0.496, 0.000, 0.250)
Dy (0.504, 0.000, 0.750)
Cu (0.000, 0.000, 0.500)
Cu (0.000, 0.000, 0.000)
Rb (0.124, 0.500, 0.750)
Rb (0.876, 0.500, 0.250)

DOS at the Fermi energy = 2.20 states/eV/f.u.
Total magnetic moment = 0.0 μB/f.u.
DFT total energy = -3.9452 eV/atom


Record 14
# CaErMgAg

A relaxed structure of CaErMgAg (PBE-GGA, Alexandria via LeMat-Bulk).

a b c (Å): 3.706 3.706 7.714
angles (deg): 90.00 90.00 90.00
Fractional coordinates of all 4 atoms:
Ag (0.500, 0.500, 0.129)
Mg (0.500, 0.500, 0.591)
Ca (0.000, 0.000, 0.874)
Er (0.000, 0.000, 0.334)

E_form = -0.19 eV/atom
DOS at the Fermi energy = 3.62 states/eV/f.u.
Energy above the most stable polymorph in this dataset = 0 meV per atom
Total magnetic moment = 0.0 μB/f.u.
DFT total energy = -2.9435 eV/atom


Record 15
# Pm6Sm4Y

A relaxed structure of Pm6Sm4Y (PBE-GGA, Alexandria via LeMat-Bulk).

a b c (Å): 9.916 9.916 9.916
angles (deg): 56.74 140.73 140.73
Fractional coordinates of all 11 atoms:
Sm (0.000, 0.635, 0.011)
Sm (0.000, 0.011, 0.635)
Sm (0.624, 0.989, 0.989)
Sm (0.376, 0.365, 0.365)
Pm (0.355, 0.548, 0.548)
Pm (0.500, 0.000, 0.500)
Pm (0.645, 0.193, 0.193)
Pm (0.500, 0.500, 0.000)
Pm (0.000, 0.452, 0.807)
Pm (0.000, 0.807, 0.452)
Y (0.000, 0.000, 0.000)

E_form = 0.29 eV/atom
DOS at the Fermi energy = 17.74 states/eV/f.u.
Energy above the most stable polymorph in this dataset = 0 meV per atom
Total magnetic moment = 0.0 μB/f.u.
DFT total energy = -4.6077 eV/atom


Record 16
# KTaAgSe4

A relaxed structure of KTaAgSe4 (PBE-GGA, Alexandria via LeMat-Bulk).

a b c (Å): 6.143 7.564 9.899
angles (deg): 90.00 105.54 90.00
Fractional coordinates of all 14 atoms:
Ag (0.353, 0.250, 0.724)
Ag (0.647, 0.750, 0.276)
Se (0.449, 0.750, 0.479)
Se (0.720, 0.250, 0.942)
Se (0.078, 0.985, 0.734)
Se (0.922, 0.485, 0.266)
Se (0.922, 0.015, 0.266)
Se (0.280, 0.750, 0.058)
Se (0.078, 0.515, 0.734)
Se (0.551, 0.250, 0.521)
Ta (0.858, 0.250, 0.733)
Ta (0.142, 0.750, 0.267)
K (0.337, 0.250, 0.141)
K (0.663, 0.750, 0.859)

DOS at the Fermi energy = 4.85 states/eV/f.u.
Total magnetic moment = 0.0 μB/f.u.
DFT total energy = -4.8762 eV/atom


Record 17
# Co2OsRu2

A relaxed structure of Co2OsRu2 (PBE-GGA, Alexandria via LeMat-Bulk).

a b c (Å): 6.853 6.853 2.723
angles (deg): 90.00 90.00 90.00
Each line ends with the local moment (μB).
Fractional coordinates of all 10 atoms:
Co (0.879, 0.621, 0.000)  0.57
Co (0.621, 0.121, 0.000)  0.54
Co (0.379, 0.879, 0.000)  0.54
Co (0.121, 0.379, 0.000)  0.57
Ru (0.676, 0.824, 0.500)  0.11
Ru (0.824, 0.324, 0.500)  0.11
Ru (0.324, 0.176, 0.500)  0.11
Ru (0.176, 0.676, 0.500)  0.11
Os (0.500, 0.500, 0.000)  -0.03
Os (0.000, 0.000, 0.000)  -0.03

E_form = 0.31 eV/atom
DOS at the Fermi energy = 5.69 states/eV/f.u.
Total magnetic moment = 1.3 μB/f.u.
DFT total energy = -8.4847 eV/atom


Record 18
# HfCuSbI2

A relaxed structure of HfCuSbI2 (PBE-GGA, Alexandria via LeMat-Bulk).

a b c (Å): 5.154 5.154 5.286
angles (deg): 90.00 90.00 90.00
Each line ends with the local moment (μB).
Fractional coordinates of all 5 atoms:
Hf (0.500, 0.500, 0.500)  0.43
Cu (0.000, 0.000, 0.000)  0.01
I (0.000, 0.500, 0.000)  -0.01
I (0.500, 0.000, 0.000)  -0.01
Sb (0.000, 0.000, 0.500)  0.00

DOS at the Fermi energy = 4.46 states/eV/f.u.
Energy above the most stable polymorph in this dataset = 290 meV per atom
Total magnetic moment = 0.7 μB/f.u.
DFT total energy = -3.5826 eV/atom


Record 19
# GeBrCl

A relaxed structure of GeBrCl (PBE-GGA, Alexandria via LeMat-Bulk).

a b c (Å): 6.789 4.002 4.002
angles (deg): 120.00 90.00 90.00
Fractional coordinates of all 3 atoms:
Ge (0.323, 0.667, 0.333)
Cl (0.112, 0.000, 0.000)
Br (0.565, 0.333, 0.667)

DOS at the Fermi energy = 0.00 states/eV/f.u.
Total magnetic moment = 0.0 μB/f.u.
DFT total energy = -3.3679 eV/atom


Record 20
# MgInAu2

A relaxed structure of MgInAu2 (PBE-GGA, Alexandria via LeMat-Bulk).

a b c (Å): 6.474 6.474 6.474
angles (deg): 53.81 153.81 133.88
Fractional coordinates of all 4 atoms:
In (0.000, 0.500, 0.500)
Au (0.000, 0.756, 0.756)
Au (0.000, 0.244, 0.244)
Mg (0.000, 0.000, 0.000)

E_form = 0.00 eV/atom
DOS at the Fermi energy = 1.07 states/eV/f.u.
Total magnetic moment = 0.0 μB/f.u.
DFT total energy = -2.7232 eV/atom